The following is a DFT calculation (PBE) of a relaxed CaNi2WSe crystal.

The space group is P4/mmm (No. 123) and the conventional cell measures 4.470, 4.470 and 4.729 Å, with angles of 90.00, 90.00 and 90.00 degrees. The asymmetric unit holds Ca at (0.000, 0.000, 0.000), Ni at (0.000, 0.500, 0.500), W at (0.500, 0.500, 0.000) and Se at (0.500, 0.500, 0.500).

As for the uncorrected formation energy: 0.521 eV per atom. Its volume is 94 Å³/cell.



The following is a DFT calculation (PBE) of a relaxed Sm3PbAu5 crystal.

The space group is P6_3/mcm (No. 193) and the conventional cell measures 8.8776, 8.8776 and 6.2655 Å, with angles of 90.00, 90.00 and 120.00 degrees. The asymmetric unit holds Sm at (0.0000, 0.3517, 0.2500), Pb at (0.0000, 0.0000, 0.0000), Au at (0.0000, 0.3213, 0.7500) and Au at (0.3333, 0.6667, 0.0000).

Its volume is 428 Å³/cell. The calculation puts the calculated formation energy at -0.7108 eV per atom.



The following is a DFT calculation (PBE) of a relaxed ZrSb2OsI crystal.

The space group is P4/mmm (No. 123) and the conventional cell measures 5.085, 5.085 and 5.523 Å, with angles of 90.00, 90.00 and 90.00 degrees. The asymmetric unit holds Zr at (0.000, 0.000, 0.000), Sb at (0.000, 0.500, 0.500), Os at (0.500, 0.500, 0.500) and I at (0.500, 0.500, 0.000).

As for the energy above the most stable polymorph in this dataset: 0.0 kJ per mole of atoms. As for the uncorrected formation energy: 0.876 eV per atom. Its volume is 143 Å³/cell.



The following is a DFT calculation (PBE) of a relaxed Sr3Pa crystal.

The space group is Fm-3m (No. 225) and the conventional cell measures 8.934, 8.934 and 8.934 Å, with angles of 90.00, 90.00 and 90.00 degrees. The asymmetric unit holds Sr at (0.000, 0.000, 0.000), Sr at (0.250, 0.250, 0.250) and Pa at (0.000, 0.000, 0.500).

As for the energy above the most stable polymorph in this dataset: 0.4 kJ per mole of atoms. Its volume is 713 Å³/cell. The calculation puts the calculated formation energy at 0.7187 eV per atom.



The following is a DFT calculation (PBE) of a relaxed DyThMgTc crystal.

The space group is F-43m (No. 216) and the conventional cell measures 7.251, 7.251 and 7.251 Å, with angles of 90.00, 90.00 and 90.00 degrees. The asymmetric unit holds Dy at (0.000, 0.000, 0.000), Th at (0.000, 0.000, 0.500), Mg at (0.250, 0.250, 0.250) and Tc at (0.250, 0.250, 0.750).

Its volume is 381 Å³/cell. The calculation puts the calculated formation energy at 0.0141 eV per atom.



The following is a DFT calculation (PBE) of a relaxed Ca2ReTc crystal.

The space group is Pm (No. 6) and the conventional cell measures 3.212, 3.211 and 9.174 Å, with angles of 90.00, 90.17 and 90.00 degrees. The asymmetric unit holds Ca at (0.000, 0.000, 0.000), Ca at (0.495, 0.500, 0.385), Re at (0.498, 0.500, 0.758) and Tc at (0.997, 0.000, 0.627).

As for the energy above the most stable polymorph in this dataset: 0.0 kJ per mole of atoms. Its volume is 95 Å³/cell. The calculation puts the calculated formation energy at 0.2604 eV per atom.



The following is a DFT calculation (PBE) of a relaxed Li4NdMg8 crystal.

The space group is I4/mmm (No. 139) and the conventional cell measures 10.377, 10.377 and 5.402 Å, with angles of 90.00, 90.00 and 90.00 degrees. The asymmetric unit holds Li at (0.250, 0.250, 0.250), Nd at (0.000, 0.000, 0.000), Mg at (0.000, 0.213, 0.500) and Mg at (0.000, 0.353, 0.000).

Its volume is 582 Å³/cell. The calculation puts the calculated formation energy at -0.0645 eV per atom.



The following is a DFT calculation (PBE) of a relaxed YIrF3 crystal.

The space group is Pm-3m (No. 221) and the conventional cell measures 4.360, 4.360 and 4.360 Å, with angles of 90.00, 90.00 and 90.00 degrees. The asymmetric unit holds Y at (0.000, 0.000, 0.000), Ir at (0.500, 0.500, 0.500) and F at (0.000, 0.500, 0.500).

As for the energy above the most stable polymorph in this dataset: 86.5 kJ per mole of atoms. As for the uncorrected formation energy: -0.938 eV per atom. Its volume is 83 Å³/cell.



The following is a DFT calculation (PBE) of a relaxed Sc3InO crystal.

The space group is P4mm (No. 99) and the conventional cell measures 4.138, 4.138 and 8.141 Å, with angles of 90.00, 90.00 and 90.00 degrees. The asymmetric unit holds Sc at (0.000, 0.000, 0.000), Sc at (0.000, 0.500, 0.675), In at (0.000, 0.000, 0.366) and O at (0.500, 0.500, 0.649).

As for the uncorrected formation energy: -0.668 eV per atom. Its volume is 139 Å³/cell.



The following is a DFT calculation (PBE) of a relaxed La2CoSb crystal.

The space group is Imm2 (No. 44) and the conventional cell measures 3.737, 4.738 and 11.604 Å, with angles of 90.00, 90.00 and 90.00 degrees. The asymmetric unit holds La at (0.000, 0.000, 0.000), La at (0.000, 0.500, 0.206), Co at (0.000, 0.500, 0.733) and Sb at (0.000, 0.000, 0.397).

As for the energy above the most stable polymorph in this dataset: 9.6 kJ per mole of atoms. As for the uncorrected formation energy: -0.450 eV per atom. Its volume is 205 Å³/cell.



The following is a DFT calculation (PBE) of a relaxed Tc2TeIr crystal.

The space group is Imm2 (No. 44) and the conventional cell measures 3.129, 4.534 and 9.114 Å, with angles of 90.00, 90.00 and 90.00 degrees. The asymmetric unit holds Tc at (0.000, 0.000, 0.000), Tc at (0.000, 0.500, 0.233), Te at (0.000, 0.500, 0.732) and Ir at (0.000, 0.000, 0.462).

As for the uncorrected formation energy: 0.399 eV per atom. Its volume is 129 Å³/cell.



The following is a DFT calculation (PBE) of a relaxed CoPb2Br crystal.

The space group is R3m (No. 160, hexagonal axes) and the conventional cell measures 3.5403, 3.5403 and 28.4945 Å, with angles of 90.00, 90.00 and 120.00 degrees. The asymmetric unit holds Co at (0.0000, 0.0000, 0.0000), Pb at (0.0000, 0.0000, 0.2642), Pb at (0.0000, 0.0000, 0.4962) and Br at (0.0000, 0.0000, 0.7127).

As for the energy above the most stable polymorph in this dataset: 0.0 kJ per mole of atoms. As for the uncorrected formation energy: 0.097 eV per atom. Its volume is 309 Å³/cell.